Version P
Mg6NiCO8 (PBE with a Hubbard U, optimized geometry); Fermi-level density of states = 0.00 states/eV/f.u.
1.0
4.213 0.000 0.000
0.000 4.213 0.000
0.000 0.000 8.498
Mg Ni C O
6 1 1 8
direct
0.000 0.000 0.500
0.500 0.500 0.500
0.000 0.500 0.244
0.000 0.500 0.756
0.500 0.000 0.244
0.500 0.000 0.756
0.000 0.000 0.000
0.500 0.500 0.000
0.000 0.000 0.248
0.000 0.000 0.752
0.500 0.500 0.249
0.500 0.500 0.751
0.000 0.500 0.000
0.000 0.500 0.500
0.500 0.000 0.000
0.500 0.000 0.500

***

Version Q
Mg6NiCO8 (PBE with a Hubbard U, optimized geometry); Fermi-level density of states = 0.00 states/eV/f.u.
1.0
4.213 0.000 0.000
0.000 4.213 0.000
0.000 0.000 8.490
Mg Ni C O
6 1 1 8
direct
0.500 0.500 0.000
0.500 0.500 0.500
0.000 0.500 0.253
0.000 0.500 0.747
0.500 0.000 0.253
0.500 0.000 0.747
0.000 0.000 0.000
0.000 0.000 0.500
0.000 0.000 0.250
0.000 0.000 0.750
0.500 0.500 0.251
0.500 0.500 0.749
0.000 0.500 0.000
0.000 0.500 0.500
0.500 0.000 0.000
0.500 0.000 0.500

***

The relative energies come out as version P 7; version Q 0, with values in meV per atom.